Here is a relaxed structure of ReBSeBr2 from Alexandria. Energies are from GGA-PBEsol.

Unit cell a=4.648 b=5.141 c=5.141 alpha=90.00 beta=90.00 gamma=90.00
Last column: magnetic moment on the atom in μB.
Sites, in units of the cell vectors:
Se 0.500 0.000 0.000  -0.02
Re 0.000 0.000 0.000  0.84
Br 0.000 0.500 0.000  0.03
Br 0.000 0.000 0.500  0.03
B 0.500 0.500 0.500  0.07

## Properties
- Formation energy from raw total energies: 1.3179 eV/atom
- DOS at the Fermi energy: 4.6 states/eV/f.u.
- SG: P4/mmm
- Density: 5.89 g/cm³

=====

Here is a relaxed structure of CsK2Ge from Alexandria. Energies are from GGA-PBEsol.

Unit cell a=6.049 b=6.049 c=6.049 alpha=60.00 beta=60.00 gamma=60.00
Last column: magnetic moment on the atom in μB.
Sites, in units of the cell vectors:
Cs 0.500 0.500 0.500  0.01
K 0.750 0.750 0.750  0.01
K 0.250 0.250 0.250  0.01
Ge 0.000 0.000 0.000  0.29

## Properties
- Energy of formation from the pure elements: 0.14 eV per atom
- DOS at the Fermi energy: 4.7 states/eV/f.u.
- SG: Fm-3m
- Density: 3.01 g/cm³

=====

Here is a relaxed structure of CuNi2 from Alexandria. Energies are from GGA-PBEsol.

Unit cell a=2.465 b=2.465 c=5.525 alpha=102.89 beta=102.89 gamma=90.00
Last column: magnetic moment on the atom in μB.
Sites, in units of the cell vectors:
Ni 0.830 0.830 0.660  0.47
Ni 0.170 0.170 0.340  0.47
Cu 0.500 0.500 0.000  0.01

## Properties
- Energy of formation from the pure elements: 0.03 eV per atom
- DOS at the Fermi energy: 4.6 states/eV/f.u.
- SG: I4/mmm
- Density: 9.43 g/cm³

=====

Question: Number 1 is which compound?
Answer: ReBSeBr2

=====

Question: What is the formula in the third record?
Answer: CuNi2